A relaxed KBa2B crystal, computed with PBE.

Values from the calculation:
space group: I-42d
energy relative to the elements: 62.3 kJ/mol of atoms
raw total energy: -18.1 eV per cell
M_tot: 0.00 Bohr magnetons per cell

a = 8.0514 Å, b = 8.0514 Å, c = 8.0514 Å
α = 107.02°, β = 107.02°, γ = 114.50°
Closest atoms and distances in Å follow each position.
Element x y z (fractional)
K  0.0000  0.0000  0.0000  8 Ba 4.22-4.47, 2 B 4.36
K  0.7500  0.2500  0.5000  8 Ba 4.22-4.47, 2 B 4.36
Ba  0.2531  0.6250  0.1281  2 B 2.88
Ba  0.3750  0.5031  0.6281  2 B 2.88
Ba  0.4969  0.1250  0.8719  2 B 2.88
Ba  0.8750  0.7469  0.3719  2 B 2.88
B  0.2500  0.7500  0.5000  4 Ba 2.88
B  0.5000  0.5000  0.0000  4 Ba 2.88

---

A relaxed KBaB3 crystal, computed with PBE.

Values from the calculation:
space group: Pm-3m
energy relative to the elements: 226.9 kJ/mol of atoms
raw total energy: -11.3 eV per cell
M_tot: 0.00 Bohr magnetons per cell
polymorph energy (0 for the lowest one): 0 meV per atom

a = 5.3157 Å, b = 5.3157 Å, c = 5.3157 Å
α = 90.00°, β = 90.00°, γ = 90.00°
Closest atoms and distances in Å follow each position.
Element x y z (fractional)
K  0.0000  0.0000  0.0000  12 B 3.76
Ba  0.5000  0.5000  0.5000  6 B 2.66
B  0.0000  0.5000  0.5000  2 Ba 2.66
B  0.5000  0.0000  0.5000  2 Ba 2.66
B  0.5000  0.5000  0.0000  2 Ba 2.66

---

A relaxed KBaB12 crystal, computed with PBE.

Values from the calculation:
space group: Fm-3m
energy relative to the elements: -21.7 kJ/mol of atoms
raw total energy: -86.3 eV per cell
M_tot: 0.00 Bohr magnetons per cell

a = 6.0140 Å, b = 6.0140 Å, c = 6.0140 Å
α = 60.00°, β = 60.00°, γ = 60.00°
Closest atoms and distances in Å follow each position.
Element x y z (fractional)
K  0.0000  0.0000  0.0000  24 B 3.13
Ba  0.5000  0.5000  0.5000  24 B 3.13
B  0.1009  0.1009  0.3991  5 B 1.72-1.79
B  0.1009  0.3991  0.1009  5 B 1.72-1.79
B  0.1009  0.3991  0.3991  5 B 1.72-1.79
B  0.3991  0.1009  0.1009  5 B 1.72-1.79
B  0.3991  0.1009  0.3991  5 B 1.72-1.79
B  0.3991  0.3991  0.1009  5 B 1.72-1.79
B  0.6009  0.6009  0.8991  5 B 1.72-1.79
B  0.6009  0.8991  0.6009  5 B 1.72-1.79
B  0.6009  0.8991  0.8991  5 B 1.72-1.79
B  0.8991  0.6009  0.6009  5 B 1.72-1.79
B  0.8991  0.6009  0.8991  5 B 1.72-1.79
B  0.8991  0.8991  0.6009  5 B 1.72-1.79

---

- Which of these has the lowest energy relative to the elements?
  KBaB12